# ReHN2 PBEsol optimized geometry
# energy = -8.420 eV per atom
data_ReHN2
_cell_length_a 2.878
_cell_length_b 2.878
_cell_length_c 5.206
_cell_angle_alpha 73.96
_cell_angle_beta 73.96
_cell_angle_gamma 60.00
_symmetry_space_group_name_H-M 'P 1'
_symmetry_Int_Tables_number 1
loop_
_symmetry_equiv_pos_as_xyz
'x,y,z'
loop_
_atom_site_label
_atom_site_type_symbol
_atom_site_fract_x
_atom_site_fract_y
_atom_site_fract_z
_atom_site_occupancy
Re1 Re 0.500 0.500 0.500 1
N1 N 0.085 0.085 0.744 1
N2 N 0.915 0.915 0.256 1
H1 H 0.000 0.000 0.000 1